The following is a DFT calculation (PBE-GGA) of crystalline Er2CoOs3 at its relaxed geometry.

Computed properties:
V   17.17 Å³ per atom

Cell: 5.2451 5.2451 5.2777 Å, 90.06 119.77 119.96°
Last column: magnetic moment on the atom in μB.
Fractional positions:
Er1 0.7518 0.3758 0.1276  -0.06
Er2 0.2482 0.6242 0.8724  -0.06
Co1 0.0000 0.0000 0.0000  0.72
Os1 0.5000 0.5000 0.5000  0.01
Os2 0.0000 0.0000 0.5000  0.01
Os3 0.5000 0.0000 0.5000  0.00

The following is a DFT calculation (PBE-GGA) of crystalline Er2Co3Os at its relaxed geometry.

Computed properties:
V   15.68 Å³ per atom

Cell: 5.1387 5.1387 5.0760 Å, 89.91 120.44 120.08°
Last column: magnetic moment on the atom in μB.
Fractional positions:
Er1 0.7476 0.3738 0.1213  -0.21
Er2 0.2524 0.6262 0.8787  -0.21
Co1 0.5000 0.5000 0.5000  0.80
Co2 0.0000 0.0000 0.5000  0.80
Co3 0.5000 0.0000 0.5000  0.80
Os1 0.0000 0.0000 0.0000  0.39

The following is a DFT calculation (PBE-GGA) of crystalline Er4CoOs at its relaxed geometry.

Computed properties:
V   23.27 Å³ per atom
Excess energy over the best structure of this formula in the dataset   0.071 eV/atom

Cell: 6.0183 6.3494 7.6941 Å, 90.00 108.21 90.00°
Fractional positions:
Er1 0.5445 0.2500 0.3788
Er2 0.4555 0.7500 0.6212
Er3 0.5774 0.2500 0.9029
Er4 0.4226 0.7500 0.0971
Er5 0.0032 0.0000 0.2681
Er6 0.9968 0.5000 0.7319
Er7 0.0032 0.5000 0.2681
Er8 0.9968 0.0000 0.7319
Co1 0.2541 0.2500 0.5697
Co2 0.7459 0.7500 0.4303
Os1 0.1996 0.2500 0.0452
Os2 0.8004 0.7500 0.9548

The following is a DFT calculation (PBE-GGA) of crystalline ErCo4Os at its relaxed geometry.

Computed properties:
V   13.55 Å³ per atom

Cell: 4.8628 4.8628 4.8628 Å, 60.00 60.00 60.00°
Last column: magnetic moment on the atom in μB.
Fractional positions:
Co1 0.6249 0.6249 0.1253  1.58
Co2 0.6249 0.1253 0.6249  1.58
Co3 0.6249 0.6249 0.6249  1.58
Co4 0.1253 0.6249 0.6249  1.58
Os1 0.0000 0.0000 0.0000  0.96
Er1 0.2500 0.2500 0.2500  -0.26

The following is a DFT calculation (PBE-GGA) of crystalline Er5Co2Os at its relaxed geometry.

Computed properties:
V   21.70 Å³ per atom

Cell: 7.0326 7.0326 8.6030 Å, 114.12 114.12 90.00°
Fractional positions:
Er1 0.5360 0.6782 0.7142
Er2 0.8218 0.9640 0.2858
Er3 0.0000 0.0000 0.0000
Er4 0.5000 0.5000 0.0000
Er5 0.1782 0.0360 0.7142
Er6 0.6782 0.1782 0.7142
Er7 0.0360 0.5360 0.7142
Er8 0.3218 0.8218 0.2858
Er9 0.9640 0.4640 0.2858
Er10 0.4640 0.3218 0.2858
Co1 0.1125 0.3875 0.0000
Co2 0.6125 0.1125 0.0000
Co3 0.3875 0.8875 0.0000
Co4 0.8875 0.6125 0.0000
Os1 0.7500 0.7500 0.5000
Os2 0.2500 0.2500 0.5000

The following is a DFT calculation (PBE-GGA) of crystalline Er4CoOs at its relaxed geometry.

Computed properties:
V   23.50 Å³ per atom
Excess energy over the best structure of this formula in the dataset   0.000 eV/atom

Cell: 6.0683 7.3746 7.7447 Å, 114.42 108.40 99.20°
Fractional positions:
Er1 0.0159 0.2422 0.8789
Er2 0.7876 0.6915 0.6419
Er3 0.3629 0.6367 0.8789
Er4 0.3544 0.9505 0.6419
Er5 0.6456 0.0495 0.3581
Er6 0.6371 0.3633 0.1211
Er7 0.2124 0.3085 0.3581
Er8 0.9841 0.7578 0.1211
Co1 0.2494 0.9994 0.9987
Co2 0.7506 0.0006 0.0013
Os1 0.3846 0.6346 0.2691
Os2 0.6154 0.3654 0.7309

| no. | uncorrected energy (eV per atom) | E_form (eV/f.u.) | total moment (μB/cell) |
| --- | --- | --- | --- |
| 1 | -8.65 | -2.0 | 0.6 |
| 2 | -7.21 | -1.6 | 2.4 |
| 3 | -6.28 | -1.1 | 0.0 |
| 4 | -7.37 | 0.0 | 7.0 |
| 5 | -6.31 | -2.2 | 0.0 |
| 6 | -6.35 | -1.5 | 0.0 |